TaFeBr2: optimized geometry, PBE-GGA.

- ΔE to the lowest computed polymorph (meV per atom) = 672
- D(E_F) (states/eV/f.u.) = 3.3
- E_form (uncorrected) (eV per atom) = 0.685

abc: 5.5966 5.5966 3.1535
angles: 68.82 68.82 103.00
Closest atoms and distances in Å follow each position.
Sites, in units of the cell vectors:
Br  0.0000  0.0000  0.0000  2 Ta 2.67, 2 Fe 2.67
Br  0.5000  0.5000  0.0000  2 Fe 2.67, 2 Ta 2.67
Fe  0.5000  0.0000  0.5000  4 Br 2.67
Ta  0.0000  0.5000  0.5000  4 Br 2.67